No. 1
The following is a GGA-PBE calculation of an optimized crystal structure of AsSe2BrCl, from Alexandria via LeMat-Bulk.

Unit cell a=4.8049 b=4.8049 c=5.7652 alpha=90.00 beta=90.00 gamma=90.00
Closest atoms and distances in Å follow each position.
Positions (direct):
As: 0.0000 0.0000 0.0000  2 Cl 2.88
Se: 0.0000 0.5000 0.5000  2 Cl 2.40
Se: 0.5000 0.0000 0.5000  2 Cl 2.40
Br: 0.5000 0.5000 0.0000  4 As 3.40, 8 Se 3.75
Cl: 0.0000 0.0000 0.5000  4 Se 2.40

Space-group type: No. 123
ΔE to the lowest computed polymorph: 556 meV per atom

No. 2
The following is a GGA-PBE calculation of an optimized crystal structure of Na4U3TiN8, from Alexandria via LeMat-Bulk.

Unit cell a=6.8960 b=6.8960 c=6.8960 alpha=59.02 beta=59.02 gamma=59.02
Closest atoms and distances in Å follow each position.
Positions (direct):
Na: 0.0000 0.0000 0.0000  6 N 2.68
Na: 0.0000 0.5000 0.5000  6 N 2.64-2.66
Na: 0.5000 0.0000 0.5000  6 N 2.64-2.66
Na: 0.5000 0.5000 0.0000  6 N 2.64-2.66
U: 0.0000 0.0000 0.5000  6 N 2.22-2.24
U: 0.0000 0.5000 0.0000  6 N 2.22-2.24
U: 0.5000 0.0000 0.0000  6 N 2.22-2.24
Ti: 0.5000 0.5000 0.5000  6 N 2.20
N: 0.2298 0.2298 0.2298  3 U 2.24
N: 0.2304 0.7258 0.7258  1 Ti 2.20, 2 U 2.22
N: 0.2742 0.2742 0.7696  1 Ti 2.20, 2 U 2.22
N: 0.2742 0.7696 0.2742  1 Ti 2.20, 2 U 2.22
N: 0.7258 0.2304 0.7258  1 Ti 2.20, 2 U 2.22
N: 0.7258 0.7258 0.2304  1 Ti 2.20, 2 U 2.22
N: 0.7696 0.2742 0.2742  1 Ti 2.20, 2 U 2.22
N: 0.7702 0.7702 0.7702  3 U 2.24

Final energy: -8.11 eV/atom
Space-group type: No. 166

No. 3
The following is a GGA-PBE calculation of an optimized crystal structure of TcGe, from Alexandria via LeMat-Bulk.

Unit cell a=5.0854 b=5.0854 c=5.0854 alpha=90.00 beta=90.00 gamma=90.00
Closest atoms and distances in Å follow each position.
Positions (direct):
Tc: 0.0000 0.0000 0.0000  6 Ge 2.54
Tc: 0.0000 0.5000 0.5000  6 Ge 2.54
Tc: 0.5000 0.0000 0.5000  6 Ge 2.54
Tc: 0.5000 0.5000 0.0000  6 Ge 2.54
Ge: 0.0000 0.0000 0.5000  6 Tc 2.54
Ge: 0.0000 0.5000 0.0000  6 Tc 2.54
Ge: 0.5000 0.0000 0.0000  6 Tc 2.54
Ge: 0.5000 0.5000 0.5000  6 Tc 2.54

Space-group type: No. 225
ΔE to the lowest computed polymorph: 593 meV per atom

No. 4
The following is a GGA-PBE calculation of an optimized crystal structure of SmSb3Pd, from Alexandria via LeMat-Bulk.

Unit cell a=12.8602 b=6.2753 c=6.1969 alpha=90.00 beta=90.00 gamma=90.00
Closest atoms and distances in Å follow each position.
Positions (direct):
Sm: 0.1903 0.0020 0.2500  9 Sb 3.23-3.35, 2 Pd 3.46
Sm: 0.1903 0.4980 0.7500  9 Sb 3.23-3.35, 2 Pd 3.46
Sm: 0.8097 0.5020 0.2500  9 Sb 3.23-3.35, 2 Pd 3.46
Sm: 0.8097 0.9980 0.7500  9 Sb 3.23-3.35, 2 Pd 3.46
Sb: 0.0026 0.2500 0.0000  4 Sb 3.10-3.14, 4 Sm 3.26-3.32
Sb: 0.0026 0.2500 0.5000  4 Sb 3.10-3.14, 4 Sm 3.26-3.32
Sb: 0.2663 0.5119 0.2500  2 Pd 2.82
Sb: 0.2663 0.9881 0.7500  2 Pd 2.82
Sb: 0.4386 0.6185 0.7500  4 Pd 2.74-2.83
Sb: 0.4386 0.8815 0.2500  4 Pd 2.74-2.83
Sb: 0.5614 0.1185 0.7500  4 Pd 2.74-2.83
Sb: 0.5614 0.3815 0.2500  4 Pd 2.74-2.83
Sb: 0.7337 0.0119 0.2500  2 Pd 2.82
Sb: 0.7337 0.4881 0.7500  2 Pd 2.82
Sb: 0.9974 0.7500 0.0000  4 Sb 3.10-3.14, 4 Sm 3.26-3.32
Sb: 0.9974 0.7500 0.5000  4 Sb 3.10-3.14, 4 Sm 3.26-3.32
Pd: 0.3981 0.2500 0.0000  6 Sb 2.74-2.83
Pd: 0.3981 0.2500 0.5000  6 Sb 2.74-2.83
Pd: 0.6019 0.7500 0.0000  6 Sb 2.74-2.83
Pd: 0.6019 0.7500 0.5000  6 Sb 2.74-2.83

Final energy: -5.11 eV/atom
Space-group type: No. 57

No. 5
The following is a GGA-PBE calculation of an optimized crystal structure of CaTcRh, from Alexandria via LeMat-Bulk.

Unit cell a=10.0112 b=4.3550 c=7.2397 alpha=90.00 beta=132.11 gamma=90.00
Closest atoms and distances in Å follow each position.
Positions (direct):
Ca: 0.0717 0.0000 0.3298  5 Rh 2.95-3.26, 3 Tc 3.03-3.29
Ca: 0.4283 0.5000 0.6702  5 Rh 2.95-3.26, 3 Tc 3.03-3.29
Ca: 0.5717 0.5000 0.3298  5 Rh 2.95-3.26, 3 Tc 3.03-3.29
Ca: 0.9283 0.0000 0.6702  5 Rh 2.95-3.26, 3 Tc 3.03-3.29
Tc: 0.1425 0.5000 0.0584  1 Tc 2.37, 3 Rh 2.49-2.59
Tc: 0.3575 0.0000 0.9416  1 Tc 2.37, 3 Rh 2.49-2.59
Tc: 0.6425 0.0000 0.0584  1 Tc 2.37, 3 Rh 2.49-2.59
Tc: 0.8575 0.5000 0.9416  1 Tc 2.37, 3 Rh 2.49-2.59
Rh: 0.1710 0.5000 0.7420  3 Tc 2.49-2.59
Rh: 0.3290 0.0000 0.2580  3 Tc 2.49-2.59
Rh: 0.6710 0.0000 0.7420  3 Tc 2.49-2.59
Rh: 0.8290 0.5000 0.2580  3 Tc 2.49-2.59

Space-group type: No. 12
ΔE to the lowest computed polymorph: 21 meV per atom

No. 6
The following is a GGA-PBE calculation of an optimized crystal structure of La4PrIr, from Alexandria via LeMat-Bulk.

Unit cell a=9.3905 b=9.3905 c=7.3402 alpha=105.69 beta=105.69 gamma=42.76
Closest atoms and distances in Å follow each position.
Positions (direct):
La: 0.0008 0.1940 0.0138  1 Ir 2.90
La: 0.1940 0.0008 0.5138  1 Ir 2.90
La: 0.2149 0.4099 0.3727  2 Ir 2.83-2.88
La: 0.4099 0.2149 0.8727  2 Ir 2.83-2.88
La: 0.5901 0.7851 0.1273  2 Ir 2.83-2.88
La: 0.7851 0.5901 0.6273  2 Ir 2.83-2.88
La: 0.8060 0.9992 0.4862  1 Ir 2.90
La: 0.9992 0.8060 0.9862  1 Ir 2.90
Pr: 0.4486 0.5514 0.7500  8 La 3.64-3.80, 2 Pr 3.74
Pr: 0.5514 0.4486 0.2500  8 La 3.64-3.80, 2 Pr 3.74
Ir: 0.0000 0.5000 0.0000  6 La 2.83-2.90
Ir: 0.5000 0.0000 0.5000  6 La 2.83-2.90

Final energy: -5.83 eV/atom
Space-group type: No. 15

No. 7
The following is a GGA-PBE calculation of an optimized crystal structure of Zn5CdI12, from Alexandria via LeMat-Bulk.

Unit cell a=4.1193 b=10.9693 c=15.3800 alpha=94.70 beta=96.57 gamma=100.76
Closest atoms and distances in Å follow each position.
Positions (direct):
Zn: 0.0000 0.0000 0.0000  6 I 2.88-2.90
Zn: 0.1693 0.3367 0.5011  6 I 2.85-2.89
Zn: 0.3333 0.6666 0.0001  6 I 2.88-2.90
Zn: 0.6667 0.3334 0.9999  6 I 2.88-2.90
Zn: 0.8307 0.6633 0.4989  6 I 2.85-2.89
Cd: 0.5000 0.0000 0.5000  6 I 2.99-3.00
I: 0.0039 0.1057 0.3864  1 Zn 2.89, 2 Cd 2.99-3.00
I: 0.1656 0.2388 0.1064  3 Zn 2.88-2.90
I: 0.1681 0.4279 0.8935  3 Zn 2.88-2.90
I: 0.3283 0.7523 0.3895  2 Zn 2.88, 1 Cd 3.00
I: 0.3314 0.5708 0.6068  3 Zn 2.85-2.88
I: 0.4985 0.9055 0.1065  3 Zn 2.88-2.90
I: 0.5015 0.0945 0.8935  3 Zn 2.88-2.90
I: 0.6686 0.4292 0.3932  3 Zn 2.85-2.88
I: 0.6717 0.2477 0.6105  2 Zn 2.88, 1 Cd 3.00
I: 0.8319 0.5721 0.1065  3 Zn 2.88-2.90
I: 0.8344 0.7612 0.8936  3 Zn 2.88-2.90
I: 0.9961 0.8943 0.6136  1 Zn 2.89, 2 Cd 2.99-3.00

Final energy: -1.91 eV/atom
Space-group type: No. 2

No. 8
The following is a GGA-PBE calculation of an optimized crystal structure of As2PbCl, from Alexandria via LeMat-Bulk.

Unit cell a=8.9322 b=3.7028 c=7.7362 alpha=90.00 beta=108.16 gamma=90.00
Closest atoms and distances in Å follow each position.
Positions (direct):
As: 0.0000 0.0000 0.0000  2 As 2.47
As: 0.1891 0.5000 0.1048  2 As 2.47
As: 0.5000 0.5000 0.0000  2 As 2.47
As: 0.6891 0.0000 0.1048  2 As 2.47
Pb: 0.0228 0.5000 0.3777  2 Cl 2.82, 1 As 2.94
Pb: 0.5228 0.0000 0.3777  2 Cl 2.82, 1 As 2.94
Cl: 0.2384 0.0000 0.5958  2 Pb 2.82
Cl: 0.7384 0.5000 0.5958  2 Pb 2.82

Final energy: -3.97 eV/atom
Space-group type: No. 8

No. 9
The following is a GGA-PBE calculation of an optimized crystal structure of Hg2PtPb, from Alexandria via LeMat-Bulk.

Unit cell a=8.4654 b=8.4654 c=5.6451 alpha=90.00 beta=90.00 gamma=90.00
Closest atoms and distances in Å follow each position.
Positions (direct):
Hg: 0.1983 0.7500 0.1250  2 Pt 2.79, 2 Hg 2.96
Hg: 0.2500 0.1983 0.8750  2 Pt 2.79, 2 Hg 2.96
Hg: 0.2500 0.3017 0.3750  2 Pt 2.79, 2 Hg 2.96
Hg: 0.3017 0.7500 0.6250  2 Pt 2.79, 2 Hg 2.96
Hg: 0.6983 0.2500 0.6250  2 Pt 2.79, 2 Hg 2.96
Hg: 0.7500 0.6983 0.3750  2 Pt 2.79, 2 Hg 2.96
Hg: 0.7500 0.8017 0.8750  2 Pt 2.79, 2 Hg 2.96
Hg: 0.8017 0.2500 0.1250  2 Pt 2.79, 2 Hg 2.96
Pt: 0.0000 0.0000 0.0000  4 Hg 2.79, 2 Pb 2.82
Pt: 0.0000 0.5000 0.2500  4 Hg 2.79, 2 Pb 2.82
Pt: 0.5000 0.0000 0.7500  4 Hg 2.79, 2 Pb 2.82
Pt: 0.5000 0.5000 0.5000  4 Hg 2.79, 2 Pb 2.82
Pb: 0.0000 0.0000 0.5000  2 Pt 2.82
Pb: 0.0000 0.5000 0.7500  2 Pt 2.82
Pb: 0.5000 0.0000 0.2500  2 Pt 2.82
Pb: 0.5000 0.5000 0.0000  2 Pt 2.82

Final energy: -2.48 eV/atom
Space-group type: No. 122

No. 10
The following is a GGA-PBE calculation of an optimized crystal structure of Li2RePb, from Alexandria via LeMat-Bulk.

Unit cell a=3.2142 b=3.2142 c=6.6017 alpha=90.00 beta=90.00 gamma=90.00
Closest atoms and distances in Å follow each position.
Positions (direct):
Li: 0.0000 0.0000 0.0000  4 Li 2.67, 4 Re 2.70
Li: 0.5000 0.5000 0.2132  4 Li 2.67, 1 Re 2.87, 4 Pb 2.97
Re: 0.5000 0.5000 0.7791  5 Li 2.70-2.87, 4 Pb 2.91
Pb: 0.0000 0.0000 0.5030  4 Re 2.91, 4 Li 2.97, 4 Pb 3.21

Final energy: -4.47 eV/atom
Space-group type: No. 99

No. 11
The following is a GGA-PBE calculation of an optimized crystal structure of Pr4NdPu3S8, from Alexandria via LeMat-Bulk.

Unit cell a=8.1133 b=8.1133 c=8.1133 alpha=59.66 beta=59.66 gamma=59.66
Closest atoms and distances in Å follow each position.
Positions (direct):
Pr: 0.0000 0.0000 0.0000  6 S 2.87
Pr: 0.0000 0.5000 0.5000  6 S 2.91-2.92
Pr: 0.5000 0.0000 0.5000  6 S 2.91-2.92
Pr: 0.5000 0.5000 0.0000  6 S 2.91-2.92
Nd: 0.5000 0.5000 0.5000  6 S 2.85
Pu: 0.0000 0.0000 0.5000  6 S 2.81
Pu: 0.0000 0.5000 0.0000  6 S 2.81
Pu: 0.5000 0.0000 0.0000  6 S 2.81
S: 0.2420 0.7491 0.7491  2 Pu 2.81, 1 Nd 2.85, 3 Pr 2.87-2.91
S: 0.2453 0.2453 0.2453  3 Pu 2.81, 3 Pr 2.92
S: 0.2509 0.2509 0.7580  2 Pu 2.81, 1 Nd 2.85, 3 Pr 2.87-2.91
S: 0.2509 0.7580 0.2509  2 Pu 2.81, 1 Nd 2.85, 3 Pr 2.87-2.91
S: 0.7491 0.2420 0.7491  2 Pu 2.81, 1 Nd 2.85, 3 Pr 2.87-2.91
S: 0.7491 0.7491 0.2420  2 Pu 2.81, 1 Nd 2.85, 3 Pr 2.87-2.91
S: 0.7547 0.7547 0.7547  3 Pu 2.81, 3 Pr 2.92
S: 0.7580 0.2509 0.2509  2 Pu 2.81, 1 Nd 2.85, 3 Pr 2.87-2.91

Final energy: -8.18 eV/atom
Space-group type: No. 166

No. 12
The following is a GGA-PBE calculation of an optimized crystal structure of PmAg2Au10, from Alexandria via LeMat-Bulk.

Unit cell a=9.5216 b=7.3033 c=7.2901 alpha=81.45 beta=49.33 gamma=49.21
Closest atoms and distances in Å follow each position.
Positions (direct):
Pm: 0.0000 0.0000 0.0000  16 Au 3.29-3.65, 4 Ag 3.65
Ag: 0.0000 0.5000 0.0000  8 Au 2.78-2.89, 2 Ag 2.81
Ag: 0.5000 0.0000 0.5000  8 Au 2.78-2.89, 2 Ag 2.81
Au: 0.0000 0.0000 0.5000  10 Au 2.80-2.93
Au: 0.0019 0.3455 0.6545  2 Ag 2.89, 7 Au 2.93-3.12
Au: 0.2867 0.4988 0.5012  2 Ag 2.78, 7 Au 2.80-3.08
Au: 0.3455 0.0019 0.9981  2 Ag 2.89, 7 Au 2.93-3.12
Au: 0.4988 0.2867 0.7133  2 Ag 2.78, 7 Au 2.80-3.08
Au: 0.5000 0.5000 0.0000  10 Au 2.80-2.93
Au: 0.5012 0.7133 0.2867  2 Ag 2.78, 7 Au 2.80-3.08
Au: 0.6545 0.9981 0.0019  2 Ag 2.89, 7 Au 2.93-3.12
Au: 0.7133 0.5012 0.4988  2 Ag 2.78, 7 Au 2.80-3.08
Au: 0.9981 0.6545 0.3455  2 Ag 2.89, 7 Au 2.93-3.12

Final energy: -3.50 eV/atom
Space-group type: No. 69

no.,volume (Å³ per atom)
1,26.62
2,14.17
3,16.44
4,25.01
5,19.51
6,35.04
7,37.47
8,30.39
9,25.28
10,17.05
11,23.42
12,19.62